A geometry-optimized BTeWI2 structure. Source: the Alexandria database, functional PBE.

Cell and atoms, written as POSCAR:
```
BTeWI2
1.0
5.489 0.000 0.000
0.000 5.489 0.000
0.000 0.000 4.229
B Te W I
1 1 1 2
direct
0.000 0.000 0.000
0.500 0.500 0.000
0.000 0.000 0.500
0.000 0.500 0.500
0.500 0.000 0.500
```

Summary:
Crystal system: tetragonal
Total DFT energy (no corrections), eV per cell: -20.23
Formation energy from raw total energies, kJ per mole of atoms: 108.9
SG: P4/mmm (123)
Energy above the lowest structure with this stoichiometry, meV per atom: 0


A geometry-optimized BTe2WI structure. Source: the Alexandria database, functional PBE.

Cell and atoms, written as POSCAR:
```
BTe2WI
1.0
4.860 0.000 0.000
0.000 4.860 0.000
0.000 0.000 4.777
B Te W I
1 2 1 1
direct
0.000 0.000 0.000
0.000 0.500 0.000
0.500 0.000 0.000
0.500 0.500 0.500
0.000 0.000 0.500
```

Summary:
Crystal system: tetragonal
Total DFT energy (no corrections), eV per cell: -19.91
Formation energy from raw total energies, kJ per mole of atoms: 145.7
SG: P4/mmm (123)
Energy above the lowest structure with this stoichiometry, meV per atom: 42


A geometry-optimized BTeWI2 structure. Source: the Alexandria database, functional PBE.

Cell and atoms, written as POSCAR:
```
BTeWI2
1.0
4.886 0.000 0.000
0.000 4.886 0.000
0.000 0.000 5.099
B Te W I
1 1 1 2
direct
0.000 0.000 0.000
0.000 0.000 0.500
0.500 0.500 0.500
0.000 0.500 0.000
0.500 0.000 0.000
```

Summary:
Crystal system: tetragonal
Total DFT energy (no corrections), eV per cell: -17.65
Formation energy from raw total energies, kJ per mole of atoms: 158.6
SG: P4/mmm (123)
Energy above the lowest structure with this stoichiometry, meV per atom: 515


A geometry-optimized BTeWI2 structure. Source: the Alexandria database, functional PBE.

Cell and atoms, written as POSCAR:
```
BTeWI2
1.0
5.671 0.000 0.000
0.000 5.671 0.000
0.000 0.000 5.229
B Te W I
1 1 1 2
direct
0.000 0.000 0.000
0.500 0.500 0.000
0.500 0.500 0.500
0.000 0.500 0.500
0.500 0.000 0.500
```

Summary:
Crystal system: tetragonal
Total DFT energy (no corrections), eV per cell: -18.44
Formation energy from raw total energies, kJ per mole of atoms: 143.5
SG: P4/mmm (123)
Energy above the lowest structure with this stoichiometry, meV per atom: 358


A geometry-optimized YBTeI2 structure. Source: the Alexandria database, functional PBE.

Cell and atoms, written as POSCAR:
```
YBTeI2
1.0
5.959 0.000 0.000
0.000 5.959 0.000
0.000 0.000 5.254
Y B Te I
1 1 1 2
direct
0.000 0.000 0.000
0.000 0.000 0.500
0.500 0.500 0.500
0.000 0.500 0.000
0.500 0.000 0.000
```

Summary:
Crystal system: tetragonal
Total DFT energy (no corrections), eV per cell: -16.77
Formation energy from raw total energies, kJ per mole of atoms: 50.5
SG: P4/mmm (123)
Energy above the lowest structure with this stoichiometry, meV per atom: 328


A geometry-optimized YBTeI2 structure. Source: the Alexandria database, functional PBE.

Cell and atoms, written as POSCAR:
```
YBTeI2
1.0
5.944 0.000 0.000
0.000 5.944 0.000
0.000 0.000 6.019
Y B Te I
1 1 1 2
direct
0.000 0.000 0.000
0.500 0.500 0.500
0.000 0.000 0.500
0.000 0.500 0.000
0.500 0.000 0.000
```

Summary:
Crystal system: tetragonal
Total DFT energy (no corrections), eV per cell: -17.62
Formation energy from raw total energies, kJ per mole of atoms: 34.0
SG: P4/mmm (123)
Energy above the lowest structure with this stoichiometry, meV per atom: 157


A geometry-optimized YBTeI2 structure. Source: the Alexandria database, functional PBE.

Cell and atoms, written as POSCAR:
```
YBTeI2
1.0
5.122 0.000 0.000
0.000 5.122 0.000
0.000 0.000 5.053
Y B Te I
1 1 1 2
direct
0.000 0.000 0.000
0.500 0.500 0.500
0.500 0.500 0.000
0.000 0.500 0.500
0.500 0.000 0.500
```

Summary:
Crystal system: tetragonal
Total DFT energy (no corrections), eV per cell: -18.41
Formation energy from raw total energies, kJ per mole of atoms: 18.9
SG: P4/mmm (123)
Energy above the lowest structure with this stoichiometry, meV per atom: 0


A geometry-optimized ZnBTe2I structure. Source: the Alexandria database, functional PBE.

Cell and atoms, written as POSCAR:
```
ZnBTe2I
1.0
4.966 0.000 0.000
0.000 4.966 0.000
0.000 0.000 4.996
Zn B Te I
1 1 2 1
direct
0.000 0.000 0.000
0.500 0.500 0.500
0.000 0.500 0.500
0.500 0.000 0.500
0.500 0.500 0.000
```

Summary:
Crystal system: tetragonal
Total DFT energy (no corrections), eV per cell: -12.06
Formation energy from raw total energies, kJ per mole of atoms: 71.9
SG: P4/mmm (123)
Energy above the lowest structure with this stoichiometry, meV per atom: 0


A geometry-optimized ZnBTe2I structure. Source: the Alexandria database, functional PBE.

Cell and atoms, written as POSCAR:
```
ZnBTe2I
1.0
5.975 0.000 0.000
0.000 5.975 0.000
0.000 0.000 5.347
Zn B Te I
1 1 2 1
direct
0.000 0.000 0.000
0.500 0.500 0.000
0.000 0.500 0.500
0.500 0.000 0.500
0.000 0.000 0.500
```

Summary:
Crystal system: tetragonal
Total DFT energy (no corrections), eV per cell: -7.86
Formation energy from raw total energies, kJ per mole of atoms: 153.0
SG: P4/mmm (123)
Energy above the lowest structure with this stoichiometry, meV per atom: 840


A geometry-optimized ZnBTe2I structure. Source: the Alexandria database, functional PBE.

Cell and atoms, written as POSCAR:
```
ZnBTe2I
1.0
5.293 0.000 0.000
0.000 5.293 0.000
0.000 0.000 5.635
Zn B Te I
1 1 2 1
direct
0.000 0.000 0.000
0.500 0.500 0.500
0.000 0.500 0.000
0.500 0.000 0.000
0.000 0.000 0.500
```

Summary:
Crystal system: tetragonal
Total DFT energy (no corrections), eV per cell: -9.88
Formation energy from raw total energies, kJ per mole of atoms: 113.9
SG: P4/mmm (123)
Energy above the lowest structure with this stoichiometry, meV per atom: 435


A geometry-optimized ZrBTe2I structure. Source: the Alexandria database, functional PBE.

Cell and atoms, written as POSCAR:
```
ZrBTe2I
1.0
4.849 0.000 0.000
0.000 4.849 0.000
0.000 0.000 5.022
Zr B Te I
1 1 2 1
direct
0.000 0.000 0.000
0.500 0.500 0.500
0.000 0.500 0.500
0.500 0.000 0.500
0.500 0.500 0.000
```

Summary:
Crystal system: tetragonal
Total DFT energy (no corrections), eV per cell: -20.06
Formation energy from raw total energies, kJ per mole of atoms: 58.0
SG: P4/mmm (123)
Energy above the lowest structure with this stoichiometry, meV per atom: 0


A geometry-optimized ZrBTe2I structure. Source: the Alexandria database, functional PBE.

Cell and atoms, written as POSCAR:
```
ZrBTe2I
1.0
5.615 0.000 0.000
0.000 5.615 0.000
0.000 0.000 5.773
Zr B Te I
1 1 2 1
direct
0.000 0.000 0.000
0.500 0.500 0.500
0.000 0.500 0.000
0.500 0.000 0.000
0.000 0.000 0.500
```

Summary:
Crystal system: tetragonal
Total DFT energy (no corrections), eV per cell: -19.46
Formation energy from raw total energies, kJ per mole of atoms: 69.5
SG: P4/mmm (123)
Energy above the lowest structure with this stoichiometry, meV per atom: 120


Q: Number 4 is which compound?
A: BTeWI2


Q: Number 4 is which compound?
A: BTeWI2